The following is a PBE calculation of crystalline NaRe2Rh at its relaxed geometry, from the Alexandria database.

Structure (POSCAR):
```
NaRe2Rh
1.0
2.752 -3.447 0.104
-1.532 -4.069 -0.750
1.050 -2.099 -3.737
Re Rh Na
2 1 1
Direct
0.750 0.750 0.750
0.250 0.250 0.250
0.500 0.500 0.500
0.000 0.000 0.000
```

As for the excess energy over the best structure of this formula in the dataset: 0.0000 eV per atom. Its space group is Fm-3m (225). The final energy is -7.2257 eV/atom. As for the energy of formation from the pure elements: 450 kJ/mol of formula units. Its total magnetization is 0.00 μB/cell.